The following is a DFT calculation (PBE+U) of a relaxed structure of SrCoSeO.

Results
- final energy (eV per atom) = -5.347
- total moment (μB/cell) = 12.001

abc: 6.1326 4.0489 13.5468
angles: 90.00 90.00 90.00
Last column: nearest neighbours and their distance in Å.
Space group Pnma (No. 62)
Unique sites:
Sr: 0.2434 0.2500 0.0997 x4  2 O 2.44
Co: 0.1587 0.2500 0.8116 x4  2 O 1.93-1.99
Se: 0.2431 0.2500 0.4124 x4  2 Co 2.52
O: 0.1662 0.7500 0.1937 x4  2 Co 1.93-1.99